[1]
Compound: ThTl3Br6
Source: the Alexandria database
Functional: PBE
Structure: relaxed

a b c (Å): 7.8757 7.2398 15.9975
angles (deg): 90.00 117.41 90.00
Last column: nearest neighbours and their distance in Å.
Space group P2_1/c (No. 14)
One atom of each set of equivalent atoms:
Th1 0.0000 0.0000 0.0000 (multiplicity 2)  6 Br 2.82-2.88
Tl1 0.2785 0.1885 0.8043 (multiplicity 4)  5 Br 3.38-3.56, 1 Tl 3.59
Tl2 0.5000 0.0000 0.5000 (multiplicity 2)  4 Br 3.38-3.67, 2 Tl 3.59
Br1 0.0676 0.6923 0.1198 (multiplicity 4)  1 Th 2.82
Br2 0.1511 0.6844 0.3900 (multiplicity 4)  1 Th 2.87
Br3 0.3695 0.1489 0.1254 (multiplicity 4)  1 Th 2.88

* N(E_F): 0.81 states/eV/f.u.
* uncorrected formation energy: -1.148 eV/atom
* DFT total energy: -3.604 eV/atom
* volume: 809.7 Å³ per cell
* theoretical density: 5.43 g/cm3

[2]
Compound: HfCu2HIr
Source: the Alexandria database
Functional: PBE
Structure: relaxed

a b c (Å): 3.8294 3.8294 4.2109
angles (deg): 90.00 90.00 90.00
Last column: nearest neighbours and their distance in Å.
Space group P4/mmm (No. 123)
One atom of each set of equivalent atoms:
Hf1 0.0000 0.0000 0.0000 (multiplicity 1)  2 H 2.11
Cu1 0.0000 0.5000 0.5000 (multiplicity 2)  2 H 1.91
H1 0.0000 0.0000 0.5000 (multiplicity 1)  4 Cu 1.91, 2 Hf 2.11
Ir1 0.5000 0.5000 0.0000 (multiplicity 1)  4 Hf 2.71, 8 Cu 2.85

* N(E_F): 1.67 states/eV/f.u.
* DFT total energy: -6.320 eV/atom
* volume: 61.7 Å³ per cell
* theoretical density: 13.41 g/cm3

[3]
Compound: YAlSb2
Source: the Alexandria database
Functional: PBE
Structure: relaxed

a b c (Å): 4.5274 5.0693 9.3826
angles (deg): 90.00 90.00 90.00
Last column: nearest neighbours and their distance in Å.
Space group Cmm2 (No. 35)
One atom of each set of equivalent atoms:
Y1 0.0000 0.0000 0.0000 (multiplicity 2)  4 Al 3.07-3.28, 4 Sb 3.23-3.42, 4 Y 3.40
Al1 0.0000 0.5000 0.2214 (multiplicity 2)  4 Sb 2.82-3.05, 2 Y 3.07
Sb1 0.0000 0.0000 0.4015 (multiplicity 2)  4 Al 2.82-3.05
Sb2 0.0000 0.5000 0.7546 (multiplicity 2)  4 Y 3.23-3.42, 4 Sb 3.40

* N(E_F): 2.88 states/eV/f.u.
* uncorrected formation energy: -0.179 eV/atom
* DFT total energy: -4.792 eV/atom
* volume: 215.3 Å³ per cell
* theoretical density: 5.54 g/cm3

[4]
Compound: Ga3CoPt
Source: the Alexandria database
Functional: PBE
Structure: relaxed

a b c (Å): 4.1666 11.8273 12.5887
angles (deg): 90.00 90.00 90.00
Last column: nearest neighbours and their distance in Å.
Space group Imma (No. 74)
One atom of each set of equivalent atoms:
Ga1 0.0000 0.1276 0.0036 (multiplicity 8)  3 Co 2.54, 2 Pt 2.58-2.66, 2 Ga 2.80
Ga2 0.0000 0.1278 0.3368 (multiplicity 8)  4 Co 2.39-2.55, 3 Pt 2.66-2.67
Ga3 0.0000 0.1344 0.6444 (multiplicity 8)  1 Co 2.40, 2 Pt 2.56
Co1 0.0000 0.2500 0.1696 (multiplicity 4)  8 Ga 2.54-2.55
Co2 0.0000 0.2500 0.4881 (multiplicity 4)  8 Ga 2.39-2.54
Pt1 0.0000 0.0117 0.8301 (multiplicity 8)  8 Ga 2.56-2.75

* N(E_F): 1.77 states/eV/f.u.
* E above lowest polymorph: 0 meV/atom
* DFT total energy: -4.846 eV/atom
* volume: 620.4 Å³ per cell
* theoretical density: 9.92 g/cm3